# NbCrFe (PBE-GGA, relaxed)
data_NbCrFe
_space_group_name_H-M_alt 'C m c m'
_space_group_IT_number 63
_space_group_name_Hall '-C 2c 2'
_cell_length_a 3.085
_cell_length_b 12.818
_cell_length_c 4.177
_cell_angle_alpha 90.00
_cell_angle_beta 90.00
_cell_angle_gamma 90.00
loop_
_atom_site_label
_atom_site_type_symbol
_atom_site_fract_x
_atom_site_fract_y
_atom_site_fract_z
_atom_site_occupancy
Nb1 Nb 0.000 0.088 0.250 1
Cr1 Cr 0.000 0.411 0.250 1
Fe1 Fe 0.000 0.243 0.750 1
# V = 13.76 Å³ per atom
# Formation enthalpy at 0 K = 0.061 eV/atom